A plane-wave DFT calculation with PBE was carried out for VInP2 after structural relaxation.

Structure (POSCAR):
```
VInP2
1.0
3.625 0.000 0.000
1.813 3.140 0.000
1.813 1.047 7.980
P In V
2 1 1
direct
0.903 0.903 0.292 P
0.097 0.097 0.708 P
0.500 0.500 0.500 In
0.000 0.000 0.000 V
```

Values from the calculation:
The volume is 90.83 Å³ per cell. The density of states at the Fermi level is 3.4 states/eV/cell. The total energy is -20.0 eV for the cell shown. The calculation puts the formation enthalpy at 0 K at 667 meV/atom.